DFT (PBE) results for a relaxed PuNpBr2O6 crystal.

CIF file:
```
data_PuNpBr2O6
_chemical_formula_sum 'Pu1 Np1 Br2 O6'
_cell_length_a 5.6857
_cell_length_b 6.2057
_cell_length_c 6.6511
_cell_angle_alpha 86.72
_cell_angle_beta 65.24
_cell_angle_gamma 89.98
_symmetry_space_group_name_H-M 'P -1'
_symmetry_Int_Tables_number 2
loop_
_symmetry_equiv_pos_as_xyz
'x,y,z'
'-x,-y,-z'
loop_
_atom_site_label
_atom_site_type_symbol
_atom_site_fract_x
_atom_site_fract_y
_atom_site_fract_z
_atom_site_occupancy
Pu1 Pu 0.0000 0.0000 0.0000 1
Np1 Np 0.5000 0.5000 0.0000 1
Br1 Br 0.2573 0.5079 0.4849 1
O1 O 0.1391 0.0155 0.7070 1
O2 O 0.2628 0.2829 0.0034 1
O3 O 0.2715 0.7201 0.9919 1
```

The total DFT energy (no corrections) comes out at -8.064 eV per atom. Its crystal system is triclinic.